1.
# Sr2Li2Ca3, optimized geometry, DFT GGA-PBE
# raw total energy = -1.835 eV per atom
# energy of formation from the pure elements = 50 meV per atom
# crystal system = orthorhombic
data_Sr2Li2Ca3
_chemical_formula_sum 'Sr2 Li2 Ca3'
_cell_length_a 17.068
_cell_length_b 17.068
_cell_length_c 4.045
_cell_angle_alpha 90.00
_cell_angle_beta 90.00
_cell_angle_gamma 166.19
_symmetry_space_group_name_H-M 'P 1'
_symmetry_Int_Tables_number 1
_symmetry_space_group_name_Hall 'P 1'
loop_
_atom_site_label
_atom_site_type_symbol
_atom_site_fract_x
_atom_site_fract_y
_atom_site_fract_z
Sr1 Sr 0.195 0.805 0.000
Sr2 Sr 0.805 0.195 0.000
Li1 Li 0.372 0.628 0.500
Li2 Li 0.628 0.372 0.500
Ca1 Ca 0.075 0.925 0.000
Ca2 Ca 0.500 0.500 0.500
Ca3 Ca 0.925 0.075 0.000

---

2.
# MgPaInPt, optimized geometry, DFT GGA-PBE
# raw total energy = -5.351 eV per atom
# energy of formation from the pure elements = -383 meV per atom
# crystal system = cubic
data_MgPaInPt
_chemical_formula_sum 'Mg1 Pa1 In1 Pt1'
_cell_length_a 4.971
_cell_length_b 4.971
_cell_length_c 4.971
_cell_angle_alpha 60.00
_cell_angle_beta 60.00
_cell_angle_gamma 60.00
_symmetry_space_group_name_H-M 'P 1'
_symmetry_Int_Tables_number 1
_symmetry_space_group_name_Hall 'P 1'
loop_
_atom_site_label
_atom_site_type_symbol
_atom_site_fract_x
_atom_site_fract_y
_atom_site_fract_z
Mg1 Mg 0.000 0.000 0.000
Pa1 Pa 0.500 0.500 0.500
In1 In 0.750 0.750 0.750
Pt1 Pt 0.250 0.250 0.250

---

3.
# RbAlTe2, optimized geometry, DFT GGA-PBE
# raw total energy = -3.202 eV per atom
# raw formation energy = -453 meV per atom
# crystal system = tetragonal
data_RbAlTe2
_chemical_formula_sum 'Rb2 Al2 Te4'
_cell_length_a 7.867
_cell_length_b 7.867
_cell_length_c 7.867
_cell_angle_alpha 128.23
_cell_angle_beta 128.23
_cell_angle_gamma 76.25
_symmetry_space_group_name_H-M 'P 1'
_symmetry_Int_Tables_number 1
_symmetry_space_group_name_Hall 'P 1'
loop_
_atom_site_label
_atom_site_type_symbol
_atom_site_fract_x
_atom_site_fract_y
_atom_site_fract_z
Rb1 Rb 0.375 0.625 0.750
Rb2 Rb 0.625 0.375 0.250
Al1 Al 0.125 0.875 0.250
Al2 Al 0.875 0.125 0.750
Te1 Te 0.082 0.332 0.750
Te2 Te 0.332 0.082 0.250
Te3 Te 0.668 0.918 0.750
Te4 Te 0.918 0.668 0.250

---

4.
# CsRbTlO, optimized geometry, DFT GGA-PBE
# raw total energy = -2.934 eV per atom
# raw formation energy = -648 meV per atom
# crystal system = orthorhombic
data_CsRbTlO
_chemical_formula_sum 'Cs1 Rb1 Tl1 O1'
_cell_length_a 3.968
_cell_length_b 7.178
_cell_length_c 7.178
_cell_angle_alpha 43.66
_cell_angle_beta 90.00
_cell_angle_gamma 90.00
_symmetry_space_group_name_H-M 'P 1'
_symmetry_Int_Tables_number 1
_symmetry_space_group_name_Hall 'P 1'
loop_
_atom_site_label
_atom_site_type_symbol
_atom_site_fract_x
_atom_site_fract_y
_atom_site_fract_z
Cs1 Cs 0.000 0.000 0.000
Rb1 Rb 0.000 0.330 0.330
Tl1 Tl 0.500 0.648 0.648
O1 O 0.500 0.482 0.482

---

5.
# CaCIN2, optimized geometry, DFT GGA-PBE
# raw total energy = -3.474 eV per atom
# raw formation energy = 2411 meV per atom
# crystal system = tetragonal
data_CaCIN2
_chemical_formula_sum 'Ca1 C1 I1 N2'
_cell_length_a 4.575
_cell_length_b 4.575
_cell_length_c 6.541
_cell_angle_alpha 90.00
_cell_angle_beta 90.00
_cell_angle_gamma 90.00
_symmetry_space_group_name_H-M 'P 1'
_symmetry_Int_Tables_number 1
_symmetry_space_group_name_Hall 'P 1'
loop_
_atom_site_label
_atom_site_type_symbol
_atom_site_fract_x
_atom_site_fract_y
_atom_site_fract_z
Ca1 Ca 0.000 0.000 0.000
C1 C 0.500 0.500 0.500
I1 I 0.000 0.000 0.500
N1 N 0.000 0.500 0.000
N2 N 0.500 0.000 0.000

---

6.
# LaNdSm4, optimized geometry, DFT GGA-PBE
# raw total energy = -4.541 eV per atom
# energy of formation from the pure elements = 221 meV per atom
# crystal system = orthorhombic
# energy relative to the lowest polymorph listed for this composition = 202 meV/atom
data_LaNdSm4
_chemical_formula_sum 'La2 Nd2 Sm8'
_cell_length_a 7.090
_cell_length_b 7.090
_cell_length_c 9.745
_cell_angle_alpha 90.00
_cell_angle_beta 90.00
_cell_angle_gamma 121.05
_symmetry_space_group_name_H-M 'P 1'
_symmetry_Int_Tables_number 1
_symmetry_space_group_name_Hall 'P 1'
loop_
_atom_site_label
_atom_site_type_symbol
_atom_site_fract_x
_atom_site_fract_y
_atom_site_fract_z
La1 La 0.000 0.000 0.000
La2 La 0.000 0.000 0.500
Nd1 Nd 0.180 0.820 0.750
Nd2 Nd 0.820 0.180 0.250
Sm1 Sm 0.166 0.371 0.750
Sm2 Sm 0.343 0.657 0.074
Sm3 Sm 0.343 0.657 0.426
Sm4 Sm 0.371 0.166 0.250
Sm5 Sm 0.629 0.834 0.750
Sm6 Sm 0.657 0.343 0.574
Sm7 Sm 0.657 0.343 0.926
Sm8 Sm 0.834 0.629 0.250

---

7.
# PmSmTm2Hg4, optimized geometry, DFT GGA-PBE
# raw total energy = -2.920 eV per atom
# energy of formation from the pure elements = -467 meV per atom
# crystal system = trigonal
data_PmSmTm2Hg4
_chemical_formula_sum 'Pm1 Sm1 Tm2 Hg4'
_cell_length_a 9.174
_cell_length_b 9.174
_cell_length_c 9.174
_cell_angle_alpha 33.54
_cell_angle_beta 33.54
_cell_angle_gamma 33.54
_symmetry_space_group_name_H-M 'P 1'
_symmetry_Int_Tables_number 1
_symmetry_space_group_name_Hall 'P 1'
loop_
_atom_site_label
_atom_site_type_symbol
_atom_site_fract_x
_atom_site_fract_y
_atom_site_fract_z
Pm1 Pm 0.000 0.000 0.000
Sm1 Sm 0.500 0.500 0.500
Tm1 Tm 0.250 0.250 0.250
Tm2 Tm 0.750 0.750 0.750
Hg1 Hg 0.125 0.125 0.125
Hg2 Hg 0.375 0.375 0.375
Hg3 Hg 0.625 0.625 0.625
Hg4 Hg 0.875 0.875 0.875